[1]
Pm3ZnIn | PBE | optimized geometry

Structure (POSCAR):
```
Pm3ZnIn
1.0
7.516 0.000 0.000
0.000 7.516 0.000
0.000 0.000 7.516
Pm Zn In
9 3 3
Cartesian
0.000 0.000 0.000 Pm
1.993 1.993 1.993 Pm
1.993 1.993 5.523 Pm
1.993 5.523 1.993 Pm
1.993 5.523 5.523 Pm
5.523 1.993 1.993 Pm
5.523 1.993 5.523 Pm
5.523 5.523 1.993 Pm
5.523 5.523 5.523 Pm
0.000 3.758 3.758 Zn
3.758 0.000 3.758 Zn
3.758 3.758 0.000 Zn
0.000 0.000 3.758 In
0.000 3.758 0.000 In
3.758 0.000 0.000 In
```

Symmetry: No. 221
Crystal system: cubic
Offset from the most stable computed form (eV per atom): 0.014
Total magnetic moment (Bohr magnetons per cell): 1.66
Fermi-level density of states (states/eV/f.u.): 5.1
Theoretical density (g cm⁻³): 7.2
Formation energy from the elements (eV per atom): -0.2731


[2]
Pm2Zn3In | PBE | optimized geometry

Structure (POSCAR):
```
Pm2Zn3In
1.0
0.000 4.645 8.024
3.720 0.000 8.024
3.720 4.645 0.000
Pm Zn In
4 6 2
Cartesian
5.647 4.645 8.024 Pm
1.860 2.323 4.012 Pm
5.580 6.968 12.035 Pm
1.792 4.645 8.024 Pm
3.720 4.645 2.615 Zn
3.720 2.277 6.729 Zn
3.720 2.277 9.319 Zn
3.720 7.014 6.729 Zn
3.720 7.014 9.319 Zn
3.720 4.645 13.432 Zn
3.720 4.645 5.375 In
3.720 4.645 10.672 In
```

Symmetry: No. 69
Crystal system: orthorhombic
Total magnetic moment (Bohr magnetons per cell): 0.01
Fermi-level density of states (states/eV/f.u.): 5.4
Theoretical density (g cm⁻³): 7.2
Formation energy from the elements (eV per atom): -0.3933